Compound: RbAlCo2
Source: Alexandria via LeMat-Bulk
Functional: PBEsol
Structure: relaxed

a b c (Å): 4.457 4.457 4.457
angles (deg): 60.00 60.00 60.00
Atoms (fractional coordinates):
Rb1 0.000 0.000 0.000
Al1 0.500 0.500 0.500
Co1 0.250 0.250 0.250
Co2 0.750 0.750 0.750

## Properties
energy relative to the elements = 1211 meV per atom
crystal system = cubic
SG = Fm-3m, No. 225